The following is a GGA+U calculation of Li2Co2Si2O7 after structural relaxation, from Alexandria.

Cell and atoms, written as CIF:
```
data_Li2Co2Si2O7
_cell_length_a 13.4745
_cell_length_b 9.7221
_cell_length_c 4.9337
_cell_angle_alpha 90.00
_cell_angle_beta 90.00
_cell_angle_gamma 90.00
_space_group_name_H-M_alt 'A m a 2'
_space_group_IT_number 40
loop_
_space_group_symop_operation_xyz
'x,y,z'
'-x,-y,z'
'-x+1/2,y,z'
'x+1/2,-y,z'
'x,y+1/2,z+1/2'
'-x,-y+1/2,z+1/2'
'-x+1/2,y+1/2,z+1/2'
'x+1/2,-y+1/2,z+1/2'
loop_
_atom_site_label
_atom_site_type_symbol
_atom_site_fract_x
_atom_site_fract_y
_atom_site_fract_z
Li1 Li 0.0000 0.0000 0.0000
Li2 Li 0.2500 0.0279 0.9752
Co1 Co 0.0796 0.2800 0.9110
Si1 Si 0.1372 0.1060 0.4289
O1 O 0.0639 0.2253 0.2996
O2 O 0.1181 0.4588 0.7789
O3 O 0.1277 0.1003 0.7590
O4 O 0.2500 0.1560 0.3302
```

Total magnetization in μB per atom: 0.462
Theoretical density in Mg/m³: 3.08
Calculated total energy in eV for the cell shown: -347.0